Run P
Si | PBE-GGA | optimized geometry

Unit cell a=2.7287 b=2.7287 c=2.7287 alpha=60.00 beta=60.00 gamma=60.00
Element x y z (fractional)
Si  0.0000  0.0000  0.0000

Values from the calculation:
Crystal system   cubic
Magnetization   0.0 μB per cell
Volume   14.4 Å³ per cell

Run Q
Si | PBE-GGA | optimized geometry

Unit cell a=2.5328 b=2.5328 c=2.5328 alpha=90.00 beta=90.00 gamma=90.00
Element x y z (fractional)
Si  0.0000  0.0000  0.0000

Values from the calculation:
Crystal system   cubic
Magnetization   0.0 μB per cell
Volume   16.2 Å³ per cell

run Q comes first in stability; the runner-up is 217 meV/atom higher.